Record 1
The following is a PBE calculation of crystalline TiTcSn4 at its relaxed geometry, from Alexandria via LeMat-Bulk.

Cell: 7.3801 7.3801 7.3801 Å, 125.40 125.40 80.88°
Closest atoms and distances in Å follow each position.
Fractional positions:
Ti (0.0000, 0.0000, 0.0000)  2 Tc 2.81, 8 Sn 2.98
Ti (0.5000, 0.5000, 0.0000)  2 Tc 2.81, 8 Sn 2.98
Tc (0.2500, 0.2500, 0.0000)  2 Ti 2.81, 8 Sn 2.86
Tc (0.7500, 0.7500, 0.0000)  2 Ti 2.81, 8 Sn 2.86
Sn (0.0196, 0.5196, 0.8104)  2 Tc 2.86, 3 Sn 2.97-3.15, 2 Ti 2.98
Sn (0.2092, 0.0196, 0.5000)  2 Tc 2.86, 3 Sn 2.97-3.15, 2 Ti 2.98
Sn (0.2908, 0.7908, 0.8104)  2 Tc 2.86, 3 Sn 2.97-3.15, 2 Ti 2.98
Sn (0.4804, 0.2908, 0.5000)  2 Tc 2.86, 3 Sn 2.97-3.15, 2 Ti 2.98
Sn (0.5196, 0.7092, 0.5000)  2 Tc 2.86, 3 Sn 2.97-3.15, 2 Ti 2.98
Sn (0.7092, 0.2092, 0.1896)  2 Tc 2.86, 3 Sn 2.97-3.15, 2 Ti 2.98
Sn (0.7908, 0.9804, 0.5000)  2 Tc 2.86, 3 Sn 2.97-3.15, 2 Ti 2.98
Sn (0.9804, 0.4804, 0.1896)  2 Tc 2.86, 3 Sn 2.97-3.15, 2 Ti 2.98

Properties
Crystal system: tetragonal
Calculated formation energy in eV per atom: -0.17



Record 2
The following is a PBE calculation of crystalline K2Ho2HfS6 at its relaxed geometry, from Alexandria via LeMat-Bulk.

Cell: 6.7385 6.7385 7.8776 Å, 98.47 98.47 119.57°
Closest atoms and distances in Å follow each position.
Fractional positions:
K (0.1699, 0.8301, 0.0000)  6 S 3.20-3.27
K (0.8301, 0.1699, 0.0000)  6 S 3.20-3.27
Ho (0.3335, 0.6665, 0.5000)  6 S 2.73-2.74
Ho (0.6665, 0.3335, 0.5000)  6 S 2.73-2.74
Hf (0.0000, 0.0000, 0.5000)  6 S 2.57-2.58
S (0.0657, 0.3822, 0.6936)  1 Hf 2.58, 2 Ho 2.73-2.74
S (0.2481, 0.2481, 0.3076)  1 Hf 2.57, 2 Ho 2.73
S (0.3822, 0.0657, 0.6936)  1 Hf 2.58, 2 Ho 2.73-2.74
S (0.6178, 0.9343, 0.3064)  1 Hf 2.58, 2 Ho 2.73-2.74
S (0.7519, 0.7519, 0.6924)  1 Hf 2.57, 2 Ho 2.73
S (0.9343, 0.6178, 0.3064)  1 Hf 2.58, 2 Ho 2.73-2.74

Properties
Crystal system: monoclinic
Formation energy (no corrections) in meV per atom: -1822



Record 3
The following is a PBE calculation of crystalline LaVRh2 at its relaxed geometry, from Alexandria via LeMat-Bulk.

Cell: 4.7206 4.7206 4.7206 Å, 60.00 60.00 60.00°
Closest atoms and distances in Å follow each position.
Fractional positions:
La (0.0000, 0.0000, 0.0000)  8 Rh 2.89
V (0.5000, 0.5000, 0.5000)  8 Rh 2.89
Rh (0.2500, 0.2500, 0.2500)  4 V 2.89, 4 La 2.89
Rh (0.7500, 0.7500, 0.7500)  4 La 2.89, 4 V 2.89

Properties
Crystal system: cubic
Calculated formation energy in eV per atom: -0.17



Record 4
The following is a PBE calculation of crystalline La2ThAgTe5 at its relaxed geometry, from Alexandria via LeMat-Bulk.

Cell: 9.8691 9.8691 13.4794 Å, 90.00 90.00 153.83°
Closest atoms and distances in Å follow each position.
Fractional positions:
La (0.1127, 0.8873, 0.5000)  8 Te 3.34-3.43
La (0.1236, 0.8764, 0.1193)  8 Te 3.26-3.62
La (0.8764, 0.1236, 0.6193)  8 Te 3.26-3.62
La (0.8873, 0.1127, 0.0000)  8 Te 3.34-3.43
Th (0.1940, 0.8060, 0.8210)  6 Te 3.05-3.19
Th (0.8060, 0.1940, 0.3210)  6 Te 3.05-3.19
Ag (0.4348, 0.5652, 0.2633)  4 Te 2.76-2.87
Ag (0.5652, 0.4348, 0.7633)  4 Te 2.76-2.87
Te (0.0406, 0.9594, 0.8784)  2 Ag 2.76, 1 Th 3.05
Te (0.2909, 0.7091, 0.4858)  2 Th 3.16, 3 La 3.31-3.43
Te (0.3074, 0.6926, 0.1523)  1 Ag 2.87, 2 Th 3.19
Te (0.3590, 0.6410, 0.8136)  1 Th 3.17, 4 La 3.41-3.46
Te (0.4971, 0.5029, 0.5818)  1 Ag 2.78
Te (0.5029, 0.4971, 0.0818)  1 Ag 2.78
Te (0.6410, 0.3590, 0.3136)  1 Th 3.17, 4 La 3.41-3.46
Te (0.6926, 0.3074, 0.6523)  1 Ag 2.87, 2 Th 3.19
Te (0.7091, 0.2909, 0.9858)  2 Th 3.16, 3 La 3.31-3.43
Te (0.9594, 0.0406, 0.3784)  2 Ag 2.76, 1 Th 3.05

Properties
Crystal system: orthorhombic
Formation energy (no corrections) in meV per atom: -1213



Record 5
The following is a PBE calculation of crystalline EuPuAu2 at its relaxed geometry, from Alexandria via LeMat-Bulk.

Cell: 3.6658 3.6658 7.5013 Å, 90.00 90.00 90.00°
Closest atoms and distances in Å follow each position.
Fractional positions:
Eu (0.0000, 0.0000, 0.0000)  8 Au 3.25
Pu (0.0000, 0.0000, 0.5000)  8 Au 3.15
Au (0.5000, 0.5000, 0.2614)  4 Pu 3.15, 4 Eu 3.25
Au (0.5000, 0.5000, 0.7386)  4 Pu 3.15, 4 Eu 3.25

Properties
Crystal system: tetragonal
E above lowest polymorph in meV/atom: 0
Calculated formation energy in eV per atom: -0.58



Record 6
The following is a PBE calculation of crystalline BeNi2Rh at its relaxed geometry, from Alexandria via LeMat-Bulk.

Cell: 2.5439 2.5439 7.7403 Å, 90.00 90.00 114.74°
Closest atoms and distances in Å follow each position.
Fractional positions:
Be (0.0000, 0.0000, 0.0000)  2 Ni 2.18, 2 Rh 2.28
Ni (0.0000, 0.0000, 0.4791)  6 Ni 2.43-2.54, 2 Rh 2.60
Ni (0.5000, 0.5000, 0.2195)  2 Be 2.18, 2 Ni 2.43
Rh (0.5000, 0.5000, 0.7645)  2 Be 2.28, 4 Rh 2.54

Properties
Crystal system: orthorhombic
Calculated formation energy in eV per atom: -0.01



Record 7
The following is a PBE calculation of crystalline Np5V2S12 at its relaxed geometry, from Alexandria via LeMat-Bulk.

Cell: 8.2971 8.2971 8.4363 Å, 105.51 105.51 48.56°
Closest atoms and distances in Å follow each position.
Fractional positions:
Np (0.0000, 0.0000, 0.0000)  6 S 2.64-2.76
Np (0.3034, 0.3034, 0.1501)  7 S 2.73-2.81
Np (0.3146, 0.3146, 0.6511)  7 S 2.73-2.83
Np (0.6854, 0.6854, 0.3489)  7 S 2.73-2.83
Np (0.6966, 0.6966, 0.8499)  7 S 2.73-2.81
V (0.2695, 0.7305, 0.5000)  6 S 2.41-2.42
V (0.7305, 0.2695, 0.5000)  6 S 2.41-2.42
S (0.9997, 0.9997, 0.3133)  2 V 2.42, 1 Np 2.64
S (0.0003, 0.0003, 0.6867)  2 V 2.42, 1 Np 2.64
S (0.0822, 0.5851, 0.4122)  1 V 2.41
S (0.0989, 0.6005, 0.9303)  4 Np 2.76-2.83
S (0.3995, 0.9011, 0.0697)  4 Np 2.76-2.83
S (0.4149, 0.9178, 0.5878)  1 V 2.41
S (0.4966, 0.4966, 0.2825)  2 V 2.41
S (0.5034, 0.5034, 0.7175)  2 V 2.41
S (0.5851, 0.0822, 0.4122)  1 V 2.41
S (0.6005, 0.0989, 0.9303)  4 Np 2.76-2.83
S (0.9011, 0.3995, 0.0697)  4 Np 2.76-2.83
S (0.9178, 0.4149, 0.5878)  1 V 2.41

Properties
Crystal system: monoclinic
Formation energy (no corrections) in meV per atom: -1200



Record 8
The following is a PBE calculation of crystalline MgFe4Sn at its relaxed geometry, from Alexandria via LeMat-Bulk.

Cell: 4.9247 4.9247 4.9247 Å, 60.00 60.00 60.00°
Closest atoms and distances in Å follow each position.
Fractional positions:
Mg (0.0000, 0.0000, 0.0000)  12 Fe 2.89, 4 Sn 3.02
Fe (0.1241, 0.6253, 0.6253)  6 Fe 2.46-2.47
Fe (0.6253, 0.1241, 0.6253)  6 Fe 2.46-2.47
Fe (0.6253, 0.6253, 0.1241)  6 Fe 2.46-2.47
Fe (0.6253, 0.6253, 0.6253)  6 Fe 2.46-2.47
Sn (0.2500, 0.2500, 0.2500)  12 Fe 2.89, 4 Mg 3.02

Properties
Crystal system: cubic
Calculated formation energy in eV per atom: 0.06



Record 9
The following is a PBE calculation of crystalline MgBeHRh2 at its relaxed geometry, from Alexandria via LeMat-Bulk.

Cell: 4.1191 4.1191 3.1868 Å, 90.00 90.00 90.00°
Closest atoms and distances in Å follow each position.
Fractional positions:
Mg (0.0000, 0.0000, 0.0000)  8 Rh 2.60, 4 Be 2.91
Be (0.5000, 0.5000, 0.0000)  2 H 1.59
H (0.5000, 0.5000, 0.5000)  2 Be 1.59
Rh (0.0000, 0.5000, 0.5000)  2 H 2.06
Rh (0.5000, 0.0000, 0.5000)  2 H 2.06

Properties
Crystal system: tetragonal



Record 10
The following is a PBE calculation of crystalline SrCu6O4 at its relaxed geometry, from Alexandria via LeMat-Bulk.

Cell: 5.9435 5.9435 5.9435 Å, 112.12 112.12 104.30°
Closest atoms and distances in Å follow each position.
Fractional positions:
Sr (0.0000, 0.0000, 0.0000)  4 O 2.43
Cu (0.0000, 0.5000, 0.5000)  4 O 2.35
Cu (0.0119, 0.5053, 0.0000)  2 O 1.82-1.83
Cu (0.4947, 0.4947, 0.5066)  2 O 1.82-1.83
Cu (0.5000, 0.0000, 0.5000)  4 O 2.35
Cu (0.5053, 0.0119, 0.0000)  2 O 1.82-1.83
Cu (0.9881, 0.9881, 0.4934)  2 O 1.82-1.83
O (0.2500, 0.2500, 0.5177)  2 Cu 1.82-1.83
O (0.2678, 0.7500, 0.0000)  2 Cu 1.82-1.83
O (0.7322, 0.7322, 0.4823)  2 Cu 1.82-1.83
O (0.7500, 0.2678, 0.0000)  2 Cu 1.82-1.83

Properties
Crystal system: tetragonal
Formation energy (no corrections) in meV per atom: -485



Results for density: 8.01, 4.35, 8.83, 7.20, 13.01, 8.37, 6.67, 7.20, 7.37, 5.51 (in Mg/m³, following the order of the records).
Results for uncorrected energy: -35.3, -66.1, -29.4, -46.7, -33.5, -22.7, -155.3, -39.1, -24.9, -51.4 (in eV per formula unit, following the order of the records).